Entry from Alexandria: CaNpCo2O8 after structural relaxation (PBE+U).

It has space group I-4m2 (No. 119), with a = 6.9185 Å, b = 6.9185 Å, c = 6.6564 Å, α = 90.00°, β = 90.00° and γ = 90.00°. The distinct sites, in fractional coordinates, are Ca at (0.0000, 0.0000, 0.0000), Np at (0.0000, 0.5000, 0.7500), Co at (0.0000, 0.0000, 0.5000), Co at (0.0000, 0.5000, 0.2500), O at (0.0000, 0.2158, 0.6917) and O at (0.0000, 0.3270, 0.0692).

As for the total energy: -7.08 eV/atom.